DFT (PBE-GGA) results for a relaxed PrDy5S6 crystal.

```
data_PrDy5S6
_chemical_formula_sum 'Pr2 Dy10 S12'
_space_group_name_H-M_alt 'C 1 2/m 1'
_space_group_IT_number 12
_cell_length_a 6.8244
_cell_length_b 11.8408
_cell_length_c 6.8134
_cell_angle_alpha 90.00
_cell_angle_beta 109.66
_cell_angle_gamma 90.00
loop_
_space_group_symop_operation_xyz
'x,y,z'
'-x,-y,-z'
'-x,y,-z'
'x,-y,z'
'x+1/2,y+1/2,z'
'-x+1/2,-y+1/2,-z'
'-x+1/2,y+1/2,-z'
'x+1/2,-y+1/2,z'
loop_
_atom_site_label
_atom_site_fract_x
_atom_site_fract_y
_atom_site_fract_z
Pr1 0.0000 0.0000 0.0000
Dy1 0.0000 0.1614 0.5000
Dy2 0.0000 0.3346 0.0000
Dy3 0.0000 0.5000 0.5000
S1 0.2407 0.5000 0.2533
S2 0.2425 0.3277 0.7430
```

V   21.603 A^3/atom
Formation energy without anion corrections   -46.05 kcal/mol of atoms
Final energy   -6.38 eV/atom

DFT (PBE-GGA) results for a relaxed Pr2DyS4 crystal.

```
data_Pr2DyS4
_chemical_formula_sum 'Pr4 Dy2 S8'
_space_group_name_H-M_alt 'P b a m'
_space_group_IT_number 55
_cell_length_a 7.2867
_cell_length_b 11.4465
_cell_length_c 4.1512
_cell_angle_alpha 90.00
_cell_angle_beta 90.00
_cell_angle_gamma 90.00
loop_
_space_group_symop_operation_xyz
'x,y,z'
'-x,-y,-z'
'-x,-y,z'
'x,y,-z'
'x+1/2,-y+1/2,-z'
'-x+1/2,y+1/2,z'
'-x+1/2,y+1/2,-z'
'x+1/2,-y+1/2,z'
loop_
_atom_site_label
_atom_site_fract_x
_atom_site_fract_y
_atom_site_fract_z
Pr1 0.0997 0.1855 0.0000
Dy1 0.0000 0.5000 0.5000
S1 0.1301 0.7190 0.5000
S2 0.2407 0.4495 0.0000
```

V   24.731 A^3/atom
Formation energy without anion corrections   -47.20 kcal/mol of atoms
Final energy   -6.43 eV/atom

DFT (PBE-GGA) results for a relaxed Pr3DyS4 crystal.

```
data_Pr3DyS4
_chemical_formula_sum 'Pr6 Dy2 S8'
_space_group_name_H-M_alt 'P 1 2/c 1'
_space_group_IT_number 13
_cell_length_a 7.0759
_cell_length_b 8.0595
_cell_length_c 7.0227
_cell_angle_alpha 90.00
_cell_angle_beta 109.33
_cell_angle_gamma 90.00
loop_
_space_group_symop_operation_xyz
'x,y,z'
'-x,-y,-z'
'-x,y,-z+1/2'
'x,-y,z+1/2'
loop_
_atom_site_label
_atom_site_fract_x
_atom_site_fract_y
_atom_site_fract_z
Pr1 0.0000 0.1229 0.2500
Pr2 0.0000 0.3738 0.7500
Pr3 0.5000 0.1239 0.7500
Dy1 0.5000 0.3738 0.2500
S1 0.2571 0.1322 0.0070
S2 0.2628 0.3815 0.4996
```

V   23.619 A^3/atom
Formation energy without anion corrections   -46.41 kcal/mol of atoms
Final energy   -6.44 eV/atom

DFT (PBE-GGA) results for a relaxed Pr3DyS6 crystal.

```
data_Pr3DyS6
_chemical_formula_sum 'Pr18 Dy6 S36'
_space_group_name_H-M_alt 'R -3'
_space_group_IT_number 148
_space_group_name_Hall '-R 3'
_cell_length_a 11.8857
_cell_length_b 11.8857
_cell_length_c 13.9877
_cell_angle_alpha 90.00
_cell_angle_beta 90.00
_cell_angle_gamma 120.00
loop_
_atom_site_label
_atom_site_fract_x
_atom_site_fract_y
_atom_site_fract_z
Pr1 0.0481 0.7781 0.2026
Dy1 0.0000 0.0000 0.0000
Dy2 0.0000 0.0000 0.5000
S1 0.0230 0.8132 0.4004
S2 0.0310 0.8403 0.8787
```

V   28.522 A^3/atom
Formation energy without anion corrections   -47.29 kcal/mol of atoms
Final energy   -6.42 eV/atom

DFT (PBE-GGA) results for a relaxed Pr3DyS4 crystal.

```
data_Pr3DyS4
_chemical_formula_sum 'Pr6 Dy2 S8'
_space_group_name_H-M_alt 'C m m m'
_space_group_IT_number 65
_space_group_name_Hall '-C 2 2'
_cell_length_a 8.2106
_cell_length_b 11.4846
_cell_length_c 4.0093
_cell_angle_alpha 90.00
_cell_angle_beta 90.00
_cell_angle_gamma 90.00
loop_
_atom_site_label
_atom_site_fract_x
_atom_site_fract_y
_atom_site_fract_z
Pr1 0.0000 0.0000 0.0000
Pr2 0.2500 0.2500 0.5000
Dy1 0.0000 0.5000 0.0000
S1 0.0000 0.2568 0.0000
S2 0.2366 0.5000 0.5000
```

V   23.629 A^3/atom
Formation energy without anion corrections   -46.30 kcal/mol of atoms
Final energy   -6.44 eV/atom

DFT (PBE-GGA) results for a relaxed Pr2DyS4 crystal.

```
data_Pr2DyS4
_chemical_formula_sum 'Pr8 Dy4 S16'
_space_group_name_H-M_alt 'C m c m'
_space_group_IT_number 63
_space_group_name_Hall '-C 2c 2'
_cell_length_a 3.8872
_cell_length_b 13.5664
_cell_length_c 13.4906
_cell_angle_alpha 90.00
_cell_angle_beta 90.00
_cell_angle_gamma 90.00
loop_
_atom_site_label
_atom_site_fract_x
_atom_site_fract_y
_atom_site_fract_z
Pr1 0.0000 0.1294 0.0725
Dy1 0.0000 0.3724 0.2500
S1 0.0000 0.0163 0.2500
S2 0.0000 0.2192 0.6265
S3 0.0000 0.5000 0.0000
```

V   25.408 A^3/atom
Formation energy without anion corrections   -45.98 kcal/mol of atoms
Final energy   -6.38 eV/atom

DFT (PBE-GGA) results for a relaxed Pr3Dy5S8 crystal.

```
data_Pr3Dy5S8
_chemical_formula_sum 'Pr9 Dy15 S24'
_space_group_name_H-M_alt 'R -3 m'
_space_group_IT_number 166
_space_group_name_Hall '-R 3 2"'
_cell_length_a 7.9243
_cell_length_b 7.9243
_cell_length_c 19.7298
_cell_angle_alpha 90.00
_cell_angle_beta 90.00
_cell_angle_gamma 120.00
loop_
_atom_site_label
_atom_site_fract_x
_atom_site_fract_y
_atom_site_fract_z
Pr1 0.0000 0.5000 0.0000
Dy1 0.0000 0.0000 0.0000
Dy2 0.0000 0.0000 0.5000
Dy3 0.0000 0.5000 0.5000
S1 0.0000 0.0000 0.2435
S2 0.0081 0.5040 0.7544
```

V   22.353 A^3/atom
Formation energy without anion corrections   -46.08 kcal/mol of atoms
Final energy   -6.40 eV/atom

DFT (PBE-GGA) results for a relaxed PrDy3S6 crystal.

```
data_PrDy3S6
_chemical_formula_sum 'Pr2 Dy6 S12'
_space_group_name_H-M_alt 'P 1 21/m 1'
_space_group_IT_number 11
_cell_length_a 11.1021
_cell_length_b 4.0056
_cell_length_c 11.3840
_cell_angle_alpha 90.00
_cell_angle_beta 108.68
_cell_angle_gamma 90.00
loop_
_space_group_symop_operation_xyz
'x,y,z'
'-x,-y,-z'
'-x,y+1/2,-z'
'x,-y+1/2,z'
loop_
_atom_site_label
_atom_site_fract_x
_atom_site_fract_y
_atom_site_fract_z
Pr1 0.0488 0.2500 0.1943
Dy1 0.1611 0.2500 0.5867
Dy2 0.3199 0.7500 0.9980
Dy3 0.4407 0.2500 0.3324
S1 0.0825 0.7500 0.4059
S2 0.1182 0.2500 0.9632
S3 0.1962 0.7500 0.7488
S4 0.2644 0.7500 0.2275
S5 0.3954 0.2500 0.5591
S6 0.4779 0.2500 0.1113
```

V   23.978 A^3/atom
Formation energy without anion corrections   -48.20 kcal/mol of atoms
Final energy   -6.43 eV/atom

DFT (PBE-GGA) results for a relaxed PrDy6S8 crystal.

```
data_PrDy6S8
_chemical_formula_sum 'Pr4 Dy24 S32'
_space_group_name_H-M_alt 'F m -3 m'
_space_group_IT_number 225
_space_group_name_Hall '-F 4 2 3'
_cell_length_a 11.0637
_cell_length_b 11.0637
_cell_length_c 11.0637
_cell_angle_alpha 90.00
_cell_angle_beta 90.00
_cell_angle_gamma 90.00
loop_
_atom_site_label
_atom_site_fract_x
_atom_site_fract_y
_atom_site_fract_z
Pr1 0.0000 0.0000 0.0000
Dy1 0.0000 0.2500 0.2500
S1 0.0000 0.0000 0.2589
S2 0.2500 0.2500 0.2500
```

V   22.571 A^3/atom
Formation energy without anion corrections   -46.75 kcal/mol of atoms
Final energy   -6.39 eV/atom

DFT (PBE-GGA) results for a relaxed PrDySbS crystal.

```
data_PrDySbS
_chemical_formula_sum 'Pr3 Dy3 Sb3 S3'
_space_group_name_H-M_alt 'R 3 m'
_space_group_IT_number 160
_space_group_name_Hall 'R 3 -2"'
_cell_length_a 4.1357
_cell_length_b 4.1357
_cell_length_c 22.4288
_cell_angle_alpha 90.00
_cell_angle_beta 90.00
_cell_angle_gamma 120.00
loop_
_atom_site_label
_atom_site_fract_x
_atom_site_fract_y
_atom_site_fract_z
Pr1 0.0000 0.0000 0.0000
Dy1 0.0000 0.0000 0.1615
Sb1 0.0000 0.0000 0.5763
S1 0.0000 0.0000 0.7540
```

V   27.688 A^3/atom
Formation energy without anion corrections   -32.68 kcal/mol of atoms
Final energy   -5.83 eV/atom

DFT (PBE-GGA) results for a relaxed Pr2DyScS6 crystal.

```
data_Pr2DyScS6
_chemical_formula_sum 'Pr4 Dy2 Sc2 S12'
_space_group_name_H-M_alt 'P 1 21/c 1'
_space_group_IT_number 14
_cell_length_a 6.6481
_cell_length_b 7.2941
_cell_length_c 11.7950
_cell_angle_alpha 90.00
_cell_angle_beta 123.47
_cell_angle_gamma 90.00
loop_
_space_group_symop_operation_xyz
'x,y,z'
'-x,-y,-z'
'-x,y+1/2,-z+1/2'
'x,-y+1/2,z+1/2'
loop_
_atom_site_label
_atom_site_fract_x
_atom_site_fract_y
_atom_site_fract_z
Pr1 0.2107 0.0952 0.2481
Dy1 0.5000 0.0000 0.0000
Sc1 0.0000 0.0000 0.5000
S1 0.1038 0.1927 0.9316
S2 0.2460 0.6822 0.9324
S3 0.3793 0.0457 0.7422
```

V   23.857 A^3/atom
Formation energy without anion corrections   -46.75 kcal/mol of atoms
Final energy   -6.55 eV/atom

DFT (PBE-GGA) results for a relaxed Pr2DyScS4 crystal.

```
data_Pr2DyScS4
_chemical_formula_sum 'Pr2 Dy1 Sc1 S4'
_space_group_name_H-M_alt 'P 1 2/m 1'
_space_group_IT_number 10
_cell_length_a 6.7714
_cell_length_b 3.8895
_cell_length_c 7.0228
_cell_angle_alpha 90.00
_cell_angle_beta 108.61
_cell_angle_gamma 90.00
loop_
_space_group_symop_operation_xyz
'x,y,z'
'-x,-y,-z'
'-x,y,-z'
'x,-y,z'
loop_
_atom_site_label
_atom_site_fract_x
_atom_site_fract_y
_atom_site_fract_z
Pr1 0.0000 0.0000 0.0000
Pr2 0.5000 0.5000 0.0000
Dy1 0.0000 0.5000 0.5000
Sc1 0.5000 0.0000 0.5000
S1 0.2493 0.0000 0.7257
S2 0.2678 0.5000 0.2795
```

V   21.911 A^3/atom
Formation energy without anion corrections   -45.22 kcal/mol of atoms
Final energy   -6.59 eV/atom

DFT (PBE-GGA) results for a relaxed Pr4Dy3ScS8 crystal.

```
data_Pr4Dy3ScS8
_chemical_formula_sum 'Pr12 Dy9 Sc3 S24'
_space_group_name_H-M_alt 'R -3 m'
_space_group_IT_number 166
_space_group_name_Hall '-R 3 2"'
_cell_length_a 7.8737
_cell_length_b 7.8737
_cell_length_c 19.9817
_cell_angle_alpha 90.00
_cell_angle_beta 90.00
_cell_angle_gamma 120.00
loop_
_atom_site_label
_atom_site_fract_x
_atom_site_fract_y
_atom_site_fract_z
Pr1 0.0000 0.0000 0.0000
Pr2 0.0000 0.5000 0.0000
Dy1 0.0000 0.5000 0.5000
Sc1 0.0000 0.0000 0.5000
S1 0.0000 0.0000 0.2434
S2 0.0079 0.5039 0.2417
```

V   22.350 A^3/atom
Formation energy without anion corrections   -45.75 kcal/mol of atoms
Final energy   -6.50 eV/atom

DFT (PBE-GGA) results for a relaxed Pr3Dy3ScS8 crystal.

```
data_Pr3Dy3ScS8
_chemical_formula_sum 'Pr9 Dy9 Sc3 S24'
_space_group_name_H-M_alt 'R -3 m'
_space_group_IT_number 166
_space_group_name_Hall '-R 3 2"'
_cell_length_a 7.8928
_cell_length_b 7.8928
_cell_length_c 19.7849
_cell_angle_alpha 90.00
_cell_angle_beta 90.00
_cell_angle_gamma 120.00
loop_
_atom_site_label
_atom_site_fract_x
_atom_site_fract_y
_atom_site_fract_z
Pr1 0.0000 0.5000 0.0000
Dy1 0.0000 0.5000 0.5000
Sc1 0.0000 0.0000 0.5000
S1 0.0000 0.0000 0.2440
S2 0.0083 0.5042 0.2423
```

V   23.720 A^3/atom
Formation energy without anion corrections   -46.79 kcal/mol of atoms
Final energy   -6.53 eV/atom

DFT (PBE-GGA) results for a relaxed PrDySeS crystal.

```
data_PrDySeS
_chemical_formula_sum 'Pr3 Dy3 Se3 S3'
_space_group_name_H-M_alt 'R 3 m'
_space_group_IT_number 160
_space_group_name_Hall 'R 3 -2"'
_cell_length_a 3.9891
_cell_length_b 3.9891
_cell_length_c 21.4137
_cell_angle_alpha 90.00
_cell_angle_beta 90.00
_cell_angle_gamma 120.00
loop_
_atom_site_label
_atom_site_fract_x
_atom_site_fract_y
_atom_site_fract_z
Pr1 0.0000 0.0000 0.0000
Dy1 0.0000 0.0000 0.8305
Se1 0.0000 0.0000 0.4213
S1 0.0000 0.0000 0.2421
```

V   24.593 A^3/atom
Formation energy without anion corrections   -42.50 kcal/mol of atoms
Final energy   -6.09 eV/atom

DFT (PBE-GGA) results for a relaxed PrSmDy4S8 crystal.

```
data_PrSmDy4S8
_chemical_formula_sum 'Pr3 Sm3 Dy12 S24'
_space_group_name_H-M_alt 'R 3 m'
_space_group_IT_number 160
_space_group_name_Hall 'R 3 -2"'
_cell_length_a 8.1173
_cell_length_b 8.1173
_cell_length_c 20.0351
_cell_angle_alpha 90.00
_cell_angle_beta 90.00
_cell_angle_gamma 120.00
loop_
_atom_site_label
_atom_site_fract_x
_atom_site_fract_y
_atom_site_fract_z
Pr1 0.0000 0.0000 0.0000
Sm1 0.0000 0.0000 0.6252
Dy1 0.0000 0.0000 0.2516
Dy2 0.0021 0.5010 0.1264
S1 0.0000 0.0000 0.3835
S2 0.0000 0.0000 0.8635
S3 0.0268 0.5134 0.3820
S4 0.1737 0.3474 0.2049
```

V   27.221 A^3/atom
Formation energy without anion corrections   -44.37 kcal/mol of atoms
Final energy   -6.28 eV/atom

DFT (PBE-GGA) results for a relaxed Pr4Sm3DyS8 crystal.

```
data_Pr4Sm3DyS8
_chemical_formula_sum 'Pr12 Sm9 Dy3 S24'
_space_group_name_H-M_alt 'R -3 m'
_space_group_IT_number 166
_space_group_name_Hall '-R 3 2"'
_cell_length_a 8.0645
_cell_length_b 8.0645
_cell_length_c 19.9574
_cell_angle_alpha 90.00
_cell_angle_beta 90.00
_cell_angle_gamma 120.00
loop_
_atom_site_label
_atom_site_fract_x
_atom_site_fract_y
_atom_site_fract_z
Pr1 0.0000 0.0000 0.0000
Pr2 0.0000 0.5000 0.0000
Sm1 0.0000 0.5000 0.5000
Dy1 0.0000 0.0000 0.5000
S1 0.0000 0.0000 0.2468
S2 0.0051 0.5026 0.2456
```

V   23.418 A^3/atom
Formation energy without anion corrections   -46.49 kcal/mol of atoms
Final energy   -6.45 eV/atom

DFT (PBE-GGA) results for a relaxed Pr4SmDyS8 crystal.

```
data_Pr4SmDyS8
_chemical_formula_sum 'Pr12 Sm3 Dy3 S24'
_space_group_name_H-M_alt 'R 3 m'
_space_group_IT_number 160
_space_group_name_Hall 'R 3 -2"'
_cell_length_a 8.3369
_cell_length_b 8.3369
_cell_length_c 20.3581
_cell_angle_alpha 90.00
_cell_angle_beta 90.00
_cell_angle_gamma 120.00
loop_
_atom_site_label
_atom_site_fract_x
_atom_site_fract_y
_atom_site_fract_z
Pr1 0.0000 0.0000 0.0000
Pr2 0.1689 0.3379 0.2084
Sm1 0.0000 0.0000 0.3772
Dy1 0.0000 0.0000 0.7509
S1 0.0000 0.0000 0.1335
S2 0.0000 0.0000 0.6230
S3 0.0116 0.5058 0.1248
S4 0.1798 0.3596 0.9577
```

V   29.176 A^3/atom
Formation energy without anion corrections   -43.89 kcal/mol of atoms
Final energy   -6.29 eV/atom

DFT (PBE-GGA) results for a relaxed PrSm2DyS4 crystal.

```
data_PrSm2DyS4
_chemical_formula_sum 'Pr1 Sm2 Dy1 S4'
_space_group_name_H-M_alt 'P 1 2/m 1'
_space_group_IT_number 10
_cell_length_a 6.9357
_cell_length_b 3.9681
_cell_length_c 7.0035
_cell_angle_alpha 90.00
_cell_angle_beta 108.98
_cell_angle_gamma 90.00
loop_
_space_group_symop_operation_xyz
'x,y,z'
'-x,-y,-z'
'-x,y,-z'
'x,-y,z'
loop_
_atom_site_label
_atom_site_fract_x
_atom_site_fract_y
_atom_site_fract_z
Pr1 0.0000 0.0000 0.0000
Sm1 0.5000 0.0000 0.5000
Sm2 0.5000 0.5000 0.0000
Dy1 0.0000 0.5000 0.5000
S1 0.2455 0.0000 0.7399
S2 0.2523 0.5000 0.2595
```

V   22.784 A^3/atom
Formation energy without anion corrections   -46.28 kcal/mol of atoms
Final energy   -6.42 eV/atom